[1]
The following is a DFT calculation (meta-GGA SCAN) of a PBEsol-optimized structure of Ta2BePb.

a = 2.9519 Å, b = 2.9519 Å, c = 7.8122 Å
α = 90.00°, β = 90.00°, γ = 90.00°
Fractional coordinates of all 4 atoms:
Pb  0.5000  0.5000  0.5000
Be  0.5000  0.5000  0.0000
Ta  0.0000  0.0000  0.8040
Ta  0.0000  0.0000  0.1960

Calculated values
- mass density (kg/m³) = 14102
- E_form (eV/atom) = 0.37
- Fermi-level density of states (states/eV/cell) = 1.7
- energy above the lowest structure with this stoichiometry (eV/atom) = 0.0000



[2]
The following is a DFT calculation (meta-GGA SCAN) of a PBEsol-optimized structure of TaBe2Pb.

a = 3.1004 Å, b = 3.1004 Å, c = 6.5096 Å
α = 90.00°, β = 90.00°, γ = 101.03°
Fractional coordinates of all 4 atoms:
Pb  0.0000  0.0000  0.5320
Be  0.0000  0.0000  0.9585
Be  0.5000  0.5000  0.8187
Ta  0.5000  0.5000  0.1908

Calculated values
- mass density (kg/m³) = 10982
- E_form (eV/atom) = 0.48
- Fermi-level density of states (states/eV/cell) = 1.2



[3]
The following is a DFT calculation (meta-GGA SCAN) of a PBEsol-optimized structure of TaBe2Pb.

a = 2.9437 Å, b = 2.9437 Å, c = 7.6741 Å
α = 90.00°, β = 90.00°, γ = 90.58°
Fractional coordinates of all 4 atoms:
Pb  0.5000  0.5000  0.5000
Be  0.0000  0.0000  0.2019
Be  0.0000  0.0000  0.7981
Ta  0.5000  0.5000  0.0000

Calculated values
- mass density (kg/m³) = 10143
- E_form (eV/atom) = 0.53
- Fermi-level density of states (states/eV/cell) = 1.8



[4]
The following is a DFT calculation (meta-GGA SCAN) of a PBEsol-optimized structure of TaBe2Pb.

a = 3.6329 Å, b = 3.6329 Å, c = 5.1476 Å
α = 110.66°, β = 110.66°, γ = 90.00°
Fractional coordinates of all 4 atoms:
Pb  0.5000  0.5000  0.0000
Be  0.0000  0.0000  0.0000
Be  0.7500  0.2500  0.5000
Ta  0.2500  0.7500  0.5000

Calculated values
- mass density (kg/m³) = 11456
- E_form (eV/atom) = 0.33
- Fermi-level density of states (states/eV/cell) = 0.9



[5]
The following is a DFT calculation (meta-GGA SCAN) of a PBEsol-optimized structure of Ta2BePb.

a = 3.5494 Å, b = 4.4457 Å, c = 5.1570 Å
α = 115.53°, β = 110.13°, γ = 90.00°
Fractional coordinates of all 4 atoms:
Pb  0.2285  0.7285  0.4569
Be  0.4990  0.4990  0.9980
Ta  0.0011  0.0011  0.0022
Ta  0.7714  0.2714  0.5428

Calculated values
- mass density (kg/m³) = 14143
- E_form (eV/atom) = 0.44
- Fermi-level density of states (states/eV/cell) = 1.6
- energy above the lowest structure with this stoichiometry (eV/atom) = 0.0719



[6]
The following is a DFT calculation (meta-GGA SCAN) of a PBEsol-optimized structure of BeTcPb.

a = 3.4001 Å, b = 3.9939 Å, c = 3.9939 Å
α = 120.00°, β = 90.00°, γ = 90.00°
Fractional coordinates of all 3 atoms:
Pb  0.0000  0.6667  0.3333
Be  0.5000  0.0000  0.0000
Tc  0.5000  0.3333  0.6667

Calculated values
- mass density (kg/m³) = 11108
- E_form (eV/atom) = 0.51
- Fermi-level density of states (states/eV/cell) = 1.7



[7]
The following is a DFT calculation (meta-GGA SCAN) of a PBEsol-optimized structure of BeTc2Pb.

a = 3.3015 Å, b = 4.2575 Å, c = 4.2575 Å
α = 90.00°, β = 90.00°, γ = 90.00°
Each line ends with the local moment (μB).
Fractional coordinates of all 4 atoms:
Pb  0.5000  0.0000  0.0000  -0.03
Be  0.5000  0.5000  0.5000  -0.03
Tc  0.0000  0.0000  0.5000  1.14
Tc  0.0000  0.5000  0.0000  1.14

Calculated values
- mass density (kg/m³) = 11438
- E_form (eV/atom) = 0.72
- Fermi-level density of states (states/eV/cell) = 3.6
- energy above the lowest structure with this stoichiometry (eV/atom) = 0.3447



[8]
The following is a DFT calculation (meta-GGA SCAN) of a PBEsol-optimized structure of BeTcPb2.

a = 3.4675 Å, b = 3.4955 Å, c = 6.1597 Å
α = 98.57°, β = 90.00°, γ = 90.00°
Fractional coordinates of all 4 atoms:
Pb  0.0000  0.0513  0.7531
Pb  0.0000  0.9487  0.2469
Be  0.5000  0.5000  0.0000
Tc  0.5000  0.5000  0.5000

Calculated values
- mass density (kg/m³) = 11728
- E_form (eV/atom) = 0.76
- Fermi-level density of states (states/eV/cell) = 2.1